## ZnFe2CuH (PBE)

Data for ZnFe2CuH after structural relaxation.

Space-group type: No. 123
Energy above the lowest structure with this stoichiometry (meV per atom): 0
Crystal system: tetragonal
Final energy (eV/atom): -5.0993

The structure in CIF format:
```
data_ZnFe2CuH
_symmetry_space_group_name_H-M 'P 1'
_symmetry_Int_Tables_number 1
_symmetry_space_group_name_Hall 'P 1'
_cell_length_a 3.608
_cell_length_b 3.608
_cell_length_c 3.926
_cell_angle_alpha 90.00
_cell_angle_beta 90.00
_cell_angle_gamma 90.00
loop_
_atom_site_label
_atom_site_type_symbol
_atom_site_fract_x
_atom_site_fract_y
_atom_site_fract_z
Zn1 Zn 0.000 0.000 0.000
Fe1 Fe 0.000 0.500 0.500
Fe2 Fe 0.500 0.000 0.500
Cu1 Cu 0.500 0.500 0.000
H1 H 0.500 0.500 0.500
```